Record 1
This record from Alexandria describes KLiAs2 after structural relaxation. The functional is PBE.

theoretical density: 3.09 g/cm³
SG: Pmm2, No. 25
ΔE_f: -412 meV per atom

The structure in POSCAR format:
```
KLiAs2
1.0
3.6784 0.0000 0.0000
0.0000 4.4893 -0.3460
0.0000 0.4933 6.3424
As K Li
2 1 1
Direct
0.0000 0.1253 0.9001
0.5000 0.1248 0.1724
0.0000 0.6248 0.4578
0.5000 0.6250 0.9697
```

***

Record 2
This record from Alexandria describes KLiAs3 after structural relaxation. The functional is PBE.

theoretical density: 2.62 g/cm³
SG: Pm-3m, No. 221
ΔE_f: 1214 meV per atom

The structure in POSCAR format:
```
KLiAs3
1.0
5.5595 0.0000 0.0000
0.0000 5.5595 0.0000
0.0000 0.0000 5.5595
As K Li
3 1 1
Direct
0.0000 0.5000 0.0000
0.0000 0.0000 0.5000
0.5000 0.0000 0.0000
0.0000 0.0000 0.0000
0.5000 0.5000 0.5000
```

***

Record 3
This record from Alexandria describes K2LiAs after structural relaxation. The functional is PBE.

theoretical density: 1.83 g/cm³
SG: P4/mmm, No. 123
ΔE_f: 2 meV per atom

The structure in POSCAR format:
```
K2LiAs
1.0
3.7553 0.0000 0.0000
0.0000 3.7553 0.0000
0.0000 0.0000 10.3222
As K Li
1 2 1
Direct
0.5000 0.5000 0.7500
0.0000 0.0000 0.9445
0.0000 0.0000 0.5555
0.5000 0.5000 0.2500
```

***

Record 4
This record from Alexandria describes K2LiAs after structural relaxation. The functional is PBE.

theoretical density: 2.07 g/cm³
SG: Pmmm, No. 47
ΔE_f: -9 meV per atom

The structure in POSCAR format:
```
K2LiAs
1.0
3.7465 0.0000 0.0000
0.0000 5.1256 0.0000
0.0000 0.0000 6.6748
As K Li
1 2 1
Direct
0.5000 0.5000 0.7500
0.0000 0.0000 0.9732
0.0000 0.0000 0.5268
0.5000 0.5000 0.2500
```

***

Record 5
This record from Alexandria describes K2LiAs after structural relaxation. The functional is PBE.

theoretical density: 2.46 g/cm³
SG: F-43m, No. 216
ΔE_f: -312 meV per atom

The structure in POSCAR format:
```
K2LiAs
1.0
-4.0584 -3.4500 -0.4182
-1.0331 -2.3544 -4.6838
0.9805 -5.2127 -0.6436
As K Li
1 2 1
Direct
0.5000 0.5000 0.5000
0.0000 0.0000 0.0000
0.2500 0.2500 0.2500
0.7500 0.7500 0.7500
```

***

Record 6
This record from Alexandria describes KLiAs2 after structural relaxation. The functional is PBE.

theoretical density: 3.97 g/cm³
SG: P4/mmm, No. 123
ΔE_f: -247 meV per atom

The structure in POSCAR format:
```
KLiAs2
1.0
-2.3717 0.4867 1.7408
-1.2136 -2.5565 -0.9401
4.1363 -4.4984 6.8930
As K Li
2 1 1
Direct
0.0000 0.0000 0.9636
0.0000 0.0000 0.5364
0.5000 0.5000 0.2500
0.5000 0.5000 0.7500
```

***

Please write out number 2 again, unchanged.
This record from Alexandria describes KLiAs3 after structural relaxation. The functional is PBE.

theoretical density: 2.62 g/cm³
SG: Pm-3m, No. 221
ΔE_f: 1214 meV per atom

The structure in POSCAR format:
```
KLiAs3
1.0
5.5595 0.0000 0.0000
0.0000 5.5595 0.0000
0.0000 0.0000 5.5595
As K Li
3 1 1
Direct
0.0000 0.5000 0.0000
0.0000 0.0000 0.5000
0.5000 0.0000 0.0000
0.0000 0.0000 0.0000
0.5000 0.5000 0.5000
```

***

Which value of ΔE_f does entry 6 give?
-247 meV per atom

***

Look up the theoretical density of the first one.
3.09 g/cm³

***

The highest theoretical density belongs to which entry?
number 6